## 1
The following is a PBE-GGA calculation of crystalline PmCoBi at its relaxed geometry, from OQMD via LeMat-Bulk.

Geometry as CIF:
```
data_PmCoBi
_symmetry_space_group_name_H-M 'F -4 3 m'
_symmetry_Int_Tables_number 216
_symmetry_space_group_name_Hall 'F -4 2 3'
_cell_length_a 6.6123
_cell_length_b 6.6123
_cell_length_c 6.6123
_cell_angle_alpha 90.00
_cell_angle_beta 90.00
_cell_angle_gamma 90.00
loop_
_atom_site_label
_atom_site_type_symbol
_atom_site_fract_x
_atom_site_fract_y
_atom_site_fract_z
Pm1 Pm 0.0000 0.0000 0.0000
Co1 Co 0.2500 0.2500 0.7500
Bi1 Bi 0.0000 0.0000 0.5000
```

M_tot	0.95	μB/f.u.
V	24.092	Å³/atom

***

## 2
The following is a PBE-GGA calculation of crystalline PmCoBi at its relaxed geometry, from OQMD via LeMat-Bulk.

Geometry as CIF:
```
data_PmCoBi
_symmetry_space_group_name_H-M 'F -4 3 m'
_symmetry_Int_Tables_number 216
_symmetry_space_group_name_Hall 'F -4 2 3'
_cell_length_a 6.9991
_cell_length_b 6.9991
_cell_length_c 6.9991
_cell_angle_alpha 90.00
_cell_angle_beta 90.00
_cell_angle_gamma 90.00
loop_
_atom_site_label
_atom_site_type_symbol
_atom_site_fract_x
_atom_site_fract_y
_atom_site_fract_z
Pm1 Pm 0.0000 0.0000 0.0000
Co1 Co 0.2500 0.2500 0.2500
Bi1 Bi 0.2500 0.2500 0.7500
```

M_tot	0.01	μB/f.u.
V	28.573	Å³/atom

***

So which one is most stable? That would be 1, about 864 meV per atom below the next structure.